one) DFT (PBE) results for PmTm3Fe after structural relaxation.

Structure (CIF):
```
data_PmTm3Fe
_cell_length_a 8.7967
_cell_length_b 3.5975
_cell_length_c 9.1486
_cell_angle_alpha 90.00
_cell_angle_beta 109.09
_cell_angle_gamma 90.00
_symmetry_space_group_name_H-M 'P 1 21/m 1'
_symmetry_Int_Tables_number 11
loop_
_symmetry_equiv_pos_as_xyz
'x,y,z'
'-x,-y,-z'
'-x,y+1/2,-z'
'x,-y+1/2,z'
loop_
_atom_site_label
_atom_site_type_symbol
_atom_site_fract_x
_atom_site_fract_y
_atom_site_fract_z
_atom_site_occupancy
Pm1 Pm 0.1400 0.2500 0.4352 1
Tm1 Tm 0.1638 0.7500 0.1215 1
Tm2 Tm 0.2155 0.2500 0.8261 1
Tm3 Tm 0.4933 0.7500 0.7031 1
Fe1 Fe 0.4423 0.7500 0.0326 1
```

two) DFT (PBE) results for PmTm3Fe after structural relaxation.

Structure (CIF):
```
data_PmTm3Fe
_cell_length_a 5.2169
_cell_length_b 5.2169
_cell_length_c 5.2169
_cell_angle_alpha 90.00
_cell_angle_beta 90.00
_cell_angle_gamma 90.00
_symmetry_space_group_name_H-M 'P m -3 m'
_symmetry_Int_Tables_number 221
_symmetry_space_group_name_Hall '-P 4 2 3'
loop_
_atom_site_label
_atom_site_type_symbol
_atom_site_fract_x
_atom_site_fract_y
_atom_site_fract_z
_atom_site_occupancy
Pm1 Pm 0.0000 0.0000 0.0000 1
Tm1 Tm 0.0000 0.5000 0.5000 1
Fe1 Fe 0.5000 0.5000 0.5000 1
```

Relative energy table, unit meV/atom: one) 0; two) 62

one) DFT (PBE) results for PmY2Fe after structural relaxation.

Structure (CIF):
```
data_PmY2Fe
_cell_length_a 3.5032
_cell_length_b 3.5032
_cell_length_c 32.2481
_cell_angle_alpha 90.00
_cell_angle_beta 90.00
_cell_angle_gamma 120.00
_symmetry_space_group_name_H-M 'R -3 m'
_symmetry_Int_Tables_number 166
_symmetry_space_group_name_Hall '-R 3 2"'
loop_
_atom_site_label
_atom_site_type_symbol
_atom_site_fract_x
_atom_site_fract_y
_atom_site_fract_z
_atom_site_occupancy
Pm1 Pm 0.0000 0.0000 0.0000 1
Y1 Y 0.0000 0.0000 0.1089 1
Fe1 Fe 0.0000 0.0000 0.5000 1
```

two) DFT (PBE) results for PmY2Fe after structural relaxation.

Structure (CIF):
```
data_PmY2Fe
_cell_length_a 3.3841
_cell_length_b 3.3841
_cell_length_c 9.1398
_cell_angle_alpha 90.00
_cell_angle_beta 90.00
_cell_angle_gamma 90.00
_symmetry_space_group_name_H-M 'P 4/m m m'
_symmetry_Int_Tables_number 123
_symmetry_space_group_name_Hall '-P 4 2'
loop_
_atom_site_label
_atom_site_type_symbol
_atom_site_fract_x
_atom_site_fract_y
_atom_site_fract_z
_atom_site_occupancy
Pm1 Pm 0.0000 0.0000 0.0000 1
Y1 Y 0.5000 0.5000 0.3236 1
Fe1 Fe 0.0000 0.0000 0.5000 1
```

Relative energy table, unit meV/atom: one) 241; two) 0